Entry i
TiTcSeBr2 | PBE-GGA | optimized geometry

**Symmetry**: P4/mmm (123)
**D(E_F)**: 6.134 states/eV/cell

```
data_TiTcSeBr2
_space_group_name_H-M_alt 'P 1'
_space_group_IT_number 1
_space_group_name_Hall 'P 1'
_cell_length_a 5.0669
_cell_length_b 5.0669
_cell_length_c 5.0285
_cell_angle_alpha 90.00
_cell_angle_beta 90.00
_cell_angle_gamma 90.00
loop_
_atom_site_label
_atom_site_type_symbol
_atom_site_fract_x
_atom_site_fract_y
_atom_site_fract_z
Br1 Br 0.0000 0.5000 0.0000
Br2 Br 0.5000 0.0000 0.0000
Tc1 Tc 0.5000 0.5000 0.5000
Se1 Se 0.0000 0.0000 0.5000
Ti1 Ti 0.0000 0.0000 0.0000
```


Entry ii
TiTcSeBr2 | PBE-GGA | optimized geometry

**Symmetry**: P4/mmm (123)
**D(E_F)**: 9.607 states/eV/cell

```
data_TiTcSeBr2
_space_group_name_H-M_alt 'P 1'
_space_group_IT_number 1
_space_group_name_Hall 'P 1'
_cell_length_a 5.1570
_cell_length_b 5.1570
_cell_length_c 4.7409
_cell_angle_alpha 90.00
_cell_angle_beta 90.00
_cell_angle_gamma 90.00
loop_
_atom_site_label
_atom_site_type_symbol
_atom_site_fract_x
_atom_site_fract_y
_atom_site_fract_z
Se1 Se 0.0000 0.0000 0.5000
Br1 Br 0.5000 0.0000 0.0000
Br2 Br 0.0000 0.5000 0.0000
Tc1 Tc 0.0000 0.0000 0.0000
Ti1 Ti 0.5000 0.5000 0.5000
```


Which one sits at the top of the stability order? entry i does.


Entry i
VTcSeBr2 | PBE-GGA | optimized geometry

**Symmetry**: P4/mmm (123)
**D(E_F)**: 11.055 states/eV/cell

```
data_VTcSeBr2
_space_group_name_H-M_alt 'P 1'
_space_group_IT_number 1
_space_group_name_Hall 'P 1'
_cell_length_a 5.2323
_cell_length_b 5.2323
_cell_length_c 4.6899
_cell_angle_alpha 90.00
_cell_angle_beta 90.00
_cell_angle_gamma 90.00
loop_
_atom_site_label
_atom_site_type_symbol
_atom_site_fract_x
_atom_site_fract_y
_atom_site_fract_z
Br1 Br 0.5000 0.0000 0.0000
Br2 Br 0.0000 0.5000 0.0000
Se1 Se 0.0000 0.0000 0.5000
Tc1 Tc 0.0000 0.0000 0.0000
V1 V 0.5000 0.5000 0.5000
```


Entry ii
VTcSeBr2 | PBE-GGA | optimized geometry

**Symmetry**: P4/mmm (123)
**D(E_F)**: 4.557 states/eV/cell

```
data_VTcSeBr2
_space_group_name_H-M_alt 'P 1'
_space_group_IT_number 1
_space_group_name_Hall 'P 1'
_cell_length_a 5.0755
_cell_length_b 5.0755
_cell_length_c 4.8793
_cell_angle_alpha 90.00
_cell_angle_beta 90.00
_cell_angle_gamma 90.00
loop_
_atom_site_label
_atom_site_type_symbol
_atom_site_fract_x
_atom_site_fract_y
_atom_site_fract_z
Se1 Se 0.0000 0.0000 0.5000
V1 V 0.0000 0.0000 0.0000
Br1 Br 0.0000 0.5000 0.0000
Br2 Br 0.5000 0.0000 0.0000
Tc1 Tc 0.5000 0.5000 0.5000
```


Which one sits at the top of the stability order? entry i does.


Entry i
ZnTcSeBr2 | PBE-GGA | optimized geometry

**Symmetry**: P4/mmm (123)
**D(E_F)**: 1.136 states/eV/cell

```
data_ZnTcSeBr2
_space_group_name_H-M_alt 'P 1'
_space_group_IT_number 1
_space_group_name_Hall 'P 1'
_cell_length_a 4.9896
_cell_length_b 4.9896
_cell_length_c 5.2603
_cell_angle_alpha 90.00
_cell_angle_beta 90.00
_cell_angle_gamma 90.00
loop_
_atom_site_label
_atom_site_type_symbol
_atom_site_fract_x
_atom_site_fract_y
_atom_site_fract_z
Se1 Se 0.0000 0.0000 0.5000
Br1 Br 0.5000 0.0000 0.0000
Br2 Br 0.0000 0.5000 0.0000
Zn1 Zn 0.0000 0.0000 0.0000
Tc1 Tc 0.5000 0.5000 0.5000
```


Entry ii
ZnTcSeBr2 | PBE-GGA | optimized geometry

**Symmetry**: P4/mmm (123)
**D(E_F)**: 3.227 states/eV/cell

```
data_ZnTcSeBr2
_space_group_name_H-M_alt 'P 1'
_space_group_IT_number 1
_space_group_name_Hall 'P 1'
_cell_length_a 5.2462
_cell_length_b 5.2462
_cell_length_c 4.7478
_cell_angle_alpha 90.00
_cell_angle_beta 90.00
_cell_angle_gamma 90.00
loop_
_atom_site_label
_atom_site_type_symbol
_atom_site_fract_x
_atom_site_fract_y
_atom_site_fract_z
Tc1 Tc 0.0000 0.0000 0.0000
Br1 Br 0.0000 0.5000 0.0000
Br2 Br 0.5000 0.0000 0.0000
Se1 Se 0.0000 0.0000 0.5000
Zn1 Zn 0.5000 0.5000 0.5000
```


Which one sits at the top of the stability order? entry ii does.


Entry i
ZrTcSe2Br | PBE-GGA | optimized geometry

**Symmetry**: P4/mmm (123)
**D(E_F)**: 4.280 states/eV/cell

```
data_ZrTcSe2Br
_space_group_name_H-M_alt 'P 1'
_space_group_IT_number 1
_space_group_name_Hall 'P 1'
_cell_length_a 4.7631
_cell_length_b 5.3306
_cell_length_c 4.7631
_cell_angle_alpha 90.00
_cell_angle_beta 90.00
_cell_angle_gamma 90.00
loop_
_atom_site_label
_atom_site_type_symbol
_atom_site_fract_x
_atom_site_fract_y
_atom_site_fract_z
Se1 Se 0.5000 0.0000 0.0000
Se2 Se 0.0000 0.0000 0.5000
Tc1 Tc 0.0000 0.0000 0.0000
Zr1 Zr 0.0000 0.5000 0.0000
Br1 Br 0.5000 0.5000 0.5000
```


Entry ii
ZrTcSe2Br | PBE-GGA | optimized geometry

**Symmetry**: P4/mmm (123)
**D(E_F)**: 6.772 states/eV/cell

```
data_ZrTcSe2Br
_space_group_name_H-M_alt 'P 1'
_space_group_IT_number 1
_space_group_name_Hall 'P 1'
_cell_length_a 4.8706
_cell_length_b 4.8706
_cell_length_c 4.9370
_cell_angle_alpha 90.00
_cell_angle_beta 90.00
_cell_angle_gamma 90.00
loop_
_atom_site_label
_atom_site_type_symbol
_atom_site_fract_x
_atom_site_fract_y
_atom_site_fract_z
Se1 Se 0.5000 0.0000 0.0000
Se2 Se 0.0000 0.5000 0.0000
Tc1 Tc 0.0000 0.0000 0.0000
Zr1 Zr 0.5000 0.5000 0.5000
Br1 Br 0.0000 0.0000 0.5000
```


Which one sits at the top of the stability order? entry i does.


Entry i
TeSe2Br | PBE-GGA | optimized geometry

**Symmetry**: Cmm2 (35)
**D(E_F)**: 2.357 states/eV/cell

```
data_TeSe2Br
_space_group_name_H-M_alt 'P 1'
_space_group_IT_number 1
_space_group_name_Hall 'P 1'
_cell_length_a 4.7263
_cell_length_b 4.7263
_cell_length_c 7.7908
_cell_angle_alpha 90.00
_cell_angle_beta 90.00
_cell_angle_gamma 129.34
loop_
_atom_site_label
_atom_site_type_symbol
_atom_site_fract_x
_atom_site_fract_y
_atom_site_fract_z
Se1 Se 0.5000 0.5000 0.2370
Se2 Se 0.0000 0.0000 0.0246
Te1 Te 0.0000 0.0000 0.4808
Br1 Br 0.5000 0.5000 0.7575
```


Entry ii
TeSe2Br | PBE-GGA | optimized geometry

**Symmetry**: Cmmm (65)
**D(E_F)**: 2.477 states/eV/cell

```
data_TeSe2Br
_space_group_name_H-M_alt 'P 1'
_space_group_IT_number 1
_space_group_name_Hall 'P 1'
_cell_length_a 4.8721
_cell_length_b 4.8721
_cell_length_c 7.8968
_cell_angle_alpha 90.00
_cell_angle_beta 90.00
_cell_angle_gamma 131.57
loop_
_atom_site_label
_atom_site_type_symbol
_atom_site_fract_x
_atom_site_fract_y
_atom_site_fract_z
Se1 Se 0.0000 0.0000 0.4878
Se2 Se 0.0000 0.0000 0.0122
Br1 Br 0.5000 0.5000 0.7500
Te1 Te 0.5000 0.5000 0.2500
```


Entry iii
TeSe2Br | PBE-GGA | optimized geometry

**Symmetry**: Pm (6)
**D(E_F)**: 2.107 states/eV/cell

```
data_TeSe2Br
_space_group_name_H-M_alt 'P 1'
_space_group_IT_number 1
_space_group_name_Hall 'P 1'
_cell_length_a 3.9504
_cell_length_b 5.1344
_cell_length_c 6.5871
_cell_angle_alpha 89.91
_cell_angle_beta 90.00
_cell_angle_gamma 90.00
loop_
_atom_site_label
_atom_site_type_symbol
_atom_site_fract_x
_atom_site_fract_y
_atom_site_fract_z
Br1 Br 0.5000 0.7622 0.7397
Se1 Se 0.5000 0.2485 0.2506
Se2 Se 0.0000 0.9082 0.1085
Te1 Te 0.0000 0.5811 0.4012
```


Which one sits at the top of the stability order? entry iii does.


Entry i
TeSe2Br | PBE-GGA | optimized geometry

**Symmetry**: P4/mmm (123)
**D(E_F)**: 2.298 states/eV/cell

```
data_TeSe2Br
_space_group_name_H-M_alt 'P 1'
_space_group_IT_number 1
_space_group_name_Hall 'P 1'
_cell_length_a 3.9587
_cell_length_b 3.9613
_cell_length_c 6.9639
_cell_angle_alpha 90.00
_cell_angle_beta 90.00
_cell_angle_gamma 90.00
loop_
_atom_site_label
_atom_site_type_symbol
_atom_site_fract_x
_atom_site_fract_y
_atom_site_fract_z
Te1 Te 0.5000 0.5000 0.2500
Br1 Br 0.5000 0.5000 0.7500
Se1 Se 0.0000 0.0000 0.0769
Se2 Se 0.0000 0.0000 0.4231
```


Entry ii
TeSe2Br | PBE-GGA | optimized geometry

**Symmetry**: Cm (8)
**D(E_F)**: 2.638 states/eV/cell

```
data_TeSe2Br
_space_group_name_H-M_alt 'P 1'
_space_group_IT_number 1
_space_group_name_Hall 'P 1'
_cell_length_a 4.7473
_cell_length_b 4.7473
_cell_length_c 8.2395
_cell_angle_alpha 77.21
_cell_angle_beta 77.21
_cell_angle_gamma 43.25
loop_
_atom_site_label
_atom_site_type_symbol
_atom_site_fract_x
_atom_site_fract_y
_atom_site_fract_z
Se1 Se 0.6428 0.6428 0.7706
Se2 Se 0.0118 0.0118 0.9761
Te1 Te 0.4942 0.4942 0.5225
Br1 Br 0.3512 0.3512 0.2308
```


Which one sits at the top of the stability order? entry ii does.


Entry i
TeSe2Br | PBE-GGA | optimized geometry

**Symmetry**: Imm2 (44)
**D(E_F)**: 2.244 states/eV/cell

```
data_TeSe2Br
_space_group_name_H-M_alt 'P 1'
_space_group_IT_number 1
_space_group_name_Hall 'P 1'
_cell_length_a 6.0679
_cell_length_b 6.0679
_cell_length_c 6.0679
_cell_angle_alpha 140.09
_cell_angle_beta 91.29
_cell_angle_gamma 102.15
loop_
_atom_site_label
_atom_site_type_symbol
_atom_site_fract_x
_atom_site_fract_y
_atom_site_fract_z
Se1 Se 0.2364 0.7364 0.5000
Se2 Se 0.0324 0.0324 0.0000
Te1 Te 0.4779 0.4779 0.0000
Br1 Br 0.7533 0.2533 0.5000
```


Entry ii
TeSe2Br | PBE-GGA | optimized geometry

**Symmetry**: I-42d (122)
**D(E_F)**: 10.671 states/eV/cell

```
data_TeSe2Br
_space_group_name_H-M_alt 'P 1'
_space_group_IT_number 1
_space_group_name_Hall 'P 1'
_cell_length_a 7.7052
_cell_length_b 7.7052
_cell_length_c 6.7863
_cell_angle_alpha 55.41
_cell_angle_beta 55.41
_cell_angle_gamma 90.00
loop_
_atom_site_label
_atom_site_type_symbol
_atom_site_fract_x
_atom_site_fract_y
_atom_site_fract_z
Br1 Br 0.2500 0.7500 0.5000
Br2 Br 0.5000 0.5000 0.0000
Te1 Te 0.7500 0.2500 0.5000
Te2 Te 0.0000 0.0000 0.0000
Se1 Se 0.8750 0.9072 0.7500
Se2 Se 0.0928 0.6250 0.2500
Se3 Se 0.3750 0.3428 0.7500
Se4 Se 0.6572 0.1250 0.2500
```


Entry iii
TeSe2Br | PBE-GGA | optimized geometry

**Symmetry**: Cmmm (65)
**D(E_F)**: 2.729 states/eV/cell

```
data_TeSe2Br
_space_group_name_H-M_alt 'P 1'
_space_group_IT_number 1
_space_group_name_Hall 'P 1'
_cell_length_a 5.4241
_cell_length_b 5.4241
_cell_length_c 4.0696
_cell_angle_alpha 90.00
_cell_angle_beta 90.00
_cell_angle_gamma 119.50
loop_
_atom_site_label
_atom_site_type_symbol
_atom_site_fract_x
_atom_site_fract_y
_atom_site_fract_z
Br1 Br 0.0000 0.5000 0.5000
Se1 Se 0.0000 0.0000 0.0000
Se2 Se 0.5000 0.5000 0.0000
Te1 Te 0.5000 0.0000 0.5000
```


Entry iv
TeSe2Br | PBE-GGA | optimized geometry

**Symmetry**: Pmmm (47)
**D(E_F)**: 3.477 states/eV/cell

```
data_TeSe2Br
_space_group_name_H-M_alt 'P 1'
_space_group_IT_number 1
_space_group_name_Hall 'P 1'
_cell_length_a 4.0203
_cell_length_b 4.0458
_cell_length_c 6.9678
_cell_angle_alpha 90.03
_cell_angle_beta 90.00
_cell_angle_gamma 90.00
loop_
_atom_site_label
_atom_site_type_symbol
_atom_site_fract_x
_atom_site_fract_y
_atom_site_fract_z
Br1 Br 0.0000 0.0000 0.5000
Se1 Se 0.0000 0.0000 0.0000
Se2 Se 0.5000 0.5000 0.0000
Te1 Te 0.5000 0.5000 0.5000
```


Which one sits at the top of the stability order? entry i does.


Entry i
TeSe2Br | PBE-GGA | optimized geometry

**Symmetry**: P4/mmm (123)
**D(E_F)**: 1.979 states/eV/cell

```
data_TeSe2Br
_space_group_name_H-M_alt 'P 1'
_space_group_IT_number 1
_space_group_name_Hall 'P 1'
_cell_length_a 8.3537
_cell_length_b 3.9656
_cell_length_c 3.9656
_cell_angle_alpha 90.00
_cell_angle_beta 90.00
_cell_angle_gamma 90.00
loop_
_atom_site_label
_atom_site_type_symbol
_atom_site_fract_x
_atom_site_fract_y
_atom_site_fract_z
Br1 Br 0.5000 0.0000 0.5000
Se1 Se 0.0000 0.5000 0.5000
Se2 Se 0.0000 0.0000 0.0000
Te1 Te 0.5000 0.5000 0.0000
```


Entry ii
TeSe2Br | PBE-GGA | optimized geometry

**Symmetry**: C2/m (12)
**D(E_F)**: 3.793 states/eV/cell

```
data_TeSe2Br
_space_group_name_H-M_alt 'P 1'
_space_group_IT_number 1
_space_group_name_Hall 'P 1'
_cell_length_a 5.2049
_cell_length_b 5.2049
_cell_length_c 5.2149
_cell_angle_alpha 72.47
_cell_angle_beta 72.47
_cell_angle_gamma 113.65
loop_
_atom_site_label
_atom_site_type_symbol
_atom_site_fract_x
_atom_site_fract_y
_atom_site_fract_z
Br1 Br 0.0000 0.5000 0.5000
Te1 Te 0.5000 0.0000 0.5000
Se1 Se 0.5000 0.5000 0.0000
Se2 Se 0.0000 0.0000 0.0000
```


Which one sits at the top of the stability order? entry ii does.